(1)
DFT (PBE) results for crystalline AsPt3F at its relaxed geometry.

## Properties
Electronic total energy   -20.832 eV/cell
Energy relative to the elements, uncorrected   0.762 eV per atom
D(E_F)   3.0 states/eV/f.u.
Total magnetic moment   0.00 μB/f.u.

Cell lengths 4.4046, 4.4046, 4.4046 Å; angles 90.00, 90.00, 90.00 degrees
With the nearest neighbours (Å) after each atom.
Space group Pm-3m (No. 221)
Asymmetric unit:
1 As 0.0000 0.0000 0.0000 x1  12 Pt 3.11
2 Pt 0.0000 0.5000 0.5000 x3  2 F 2.20
3 F 0.5000 0.5000 0.5000 x1  6 Pt 2.20

=====

(2)
DFT (PBE) results for crystalline Er2Pd17 at its relaxed geometry.

## Properties
Electronic total energy   -308.903 eV/cell
Formation enthalpy at 0 K   -293 meV per atom
D(E_F)   22.8 states/eV/f.u.
Total magnetic moment   0.00 μB/f.u.

Cell lengths 9.0998, 9.0998, 13.6052 Å; angles 90.00, 90.00, 120.00 degrees
With the nearest neighbours (Å) after each atom.
Space group R-3m (No. 166, hexagonal axes)
Asymmetric unit:
1 Er 0.0000 0.0000 0.1769 x6  13 Pd 3.03-3.38
2 Pd 0.0000 0.0000 0.3994 x6  7 Pd 2.74-2.87, 1 Er 3.03
3 Pd 0.0000 0.3104 0.5000 x18  8 Pd 2.68-2.82
4 Pd 0.0000 0.5000 0.0000 x9  10 Pd 2.65-2.78
5 Pd 0.0058 0.5029 0.6557 x18  9 Pd 2.60-2.87

=====

(3)
DFT (PBE) results for crystalline Dy5Tl3 at its relaxed geometry.

## Properties
Electronic total energy   -65.044 eV/cell
Formation enthalpy at 0 K   -302 meV per atom
D(E_F)   10.5 states/eV/f.u.
Total magnetic moment   0.00 μB/f.u.

Cell lengths 9.0416, 9.0416, 6.6219 Å; angles 90.00, 90.00, 120.00 degrees
With the nearest neighbours (Å) after each atom.
Space group P6_3/mcm (No. 193)
Asymmetric unit:
1 Dy 0.0000 0.2342 0.2500 x6  3 Tl 3.17-3.28
2 Dy 0.3333 0.6667 0.0000 x4  6 Tl 3.21, 2 Dy 3.31
3 Tl 0.0000 0.4032 0.7500 x6  7 Dy 3.17-3.28